First-principles (PBE+U) data for an optimized crystal structure of FeSeOF2, as listed in Alexandria.

Output
The value obtained for the magnetic moment is 0.94 μB/atom. The density of states at the Fermi level comes out at 0.388 states/eV per atom. The total DFT energy (no corrections) is -20.071 eV for the cell shown.

Unit cell a=4.594 b=4.594 c=3.792 alpha=90.00 beta=90.00 gamma=90.00
Last column: magnetic moment on the atom in μB.
Fractional positions:
1 O 0.000 0.000 0.500  0.03
2 Fe 0.500 0.500 0.500  4.13
3 Se 0.000 0.000 0.000  -0.05
4 F 0.000 0.500 0.000  0.04
5 F 0.500 0.000 0.000  0.04